[1]
Computed, not measured: crystalline Ca2YOs at its relaxed geometry at the GGA-PBEsol level of DFT.

Values from the calculation:
Total moment (μB/f.u.): 0.00
Space-group type: F-43m (216)
Energy relative to the lowest polymorph listed for this composition (meV per atom): 0
ΔH_f (0 K) (kJ per mole of atoms): 28.5

Lattice parameters (Å, degrees): 5.066 5.066 5.066 60.00 60.00 60.00
Fractional positions:
Ca 0.000 0.000 0.000
Ca 0.250 0.250 0.250
Y 0.500 0.500 0.500
Os 0.750 0.750 0.750

=====

[2]
Computed, not measured: crystalline CsPbSCl2 at its relaxed geometry at the GGA-PBEsol level of DFT.

Values from the calculation:
Total moment (μB/f.u.): 0.00
Space-group type: P4/mmm (123)
Energy relative to the lowest polymorph listed for this composition (meV per atom): 1041
Raw formation energy (eV/atom): -0.001

Lattice parameters (Å, degrees): 5.895 5.895 5.388 90.00 90.00 90.00
Fractional positions:
Cs 0.000 0.000 0.000
Pb 0.500 0.500 0.500
S 0.000 0.000 0.500
Cl 0.000 0.500 0.000
Cl 0.500 0.000 0.000

=====

[3]
Computed, not measured: crystalline HfAlTl2 at its relaxed geometry at the GGA-PBEsol level of DFT.

Values from the calculation:
Total moment (μB/f.u.): 0.00
Space-group type: Fm-3m (225)
ΔH_f (0 K) (kJ per mole of atoms): 39.8

Lattice parameters (Å, degrees): 5.012 5.012 5.012 60.00 60.00 60.00
Fractional positions:
Hf 0.000 0.000 0.000
Al 0.500 0.500 0.500
Tl 0.250 0.250 0.250
Tl 0.750 0.750 0.750

=====

[4]
Computed, not measured: crystalline TiCoP at its relaxed geometry at the GGA-PBEsol level of DFT.

Values from the calculation:
Total moment (μB/f.u.): 0.00
Space-group type: Pnma (62)
ΔH_f (0 K) (kJ per mole of atoms): -120.5

Lattice parameters (Å, degrees): 5.961 3.514 6.767 90.00 90.00 90.00
Fractional positions:
Ti 0.024 0.250 0.179
Ti 0.476 0.750 0.679
Ti 0.524 0.250 0.321
Ti 0.976 0.750 0.821
Co 0.140 0.250 0.562
Co 0.360 0.750 0.062
Co 0.640 0.250 0.938
Co 0.860 0.750 0.438
P 0.232 0.750 0.379
P 0.268 0.250 0.879
P 0.732 0.750 0.121
P 0.768 0.250 0.621

=====

[5]
Computed, not measured: crystalline MgTlRe2 at its relaxed geometry at the GGA-PBEsol level of DFT.

Values from the calculation:
Total moment (μB/f.u.): 0.00
Space-group type: I4/mmm (139)
Energy relative to the lowest polymorph listed for this composition (meV per atom): 0
ΔH_f (0 K) (kJ per mole of atoms): 77.9

Lattice parameters (Å, degrees): 5.278 5.278 5.278 137.18 137.18 62.15
Fractional positions:
Mg 0.000 0.000 0.000
Tl 0.500 0.500 0.000
Re 0.250 0.750 0.500
Re 0.750 0.250 0.500

=====

[6]
Computed, not measured: crystalline AlGePtI2 at its relaxed geometry at the GGA-PBEsol level of DFT.

Values from the calculation:
Total moment (μB/f.u.): 0.00
Space-group type: P4/mmm (123)
Raw formation energy (eV/atom): 0.382

Lattice parameters (Å, degrees): 5.502 5.502 4.689 90.00 90.00 90.00
Fractional positions:
Al 0.000 0.000 0.000
Ge 0.500 0.500 0.000
Pt 0.000 0.000 0.500
I 0.000 0.500 0.500
I 0.500 0.000 0.500

=====

[7]
Computed, not measured: crystalline Cu2SiNi at its relaxed geometry at the GGA-PBEsol level of DFT.

Values from the calculation:
Total moment (μB/f.u.): 0.00
Space-group type: Pm (6)
Raw formation energy (eV/atom): -0.213

Lattice parameters (Å, degrees): 2.561 3.735 4.864 90.00 104.50 90.00
Fractional positions:
Cu 0.000 0.000 0.000
Cu 0.401 0.500 0.796
Si 0.256 0.000 0.497
Ni 0.672 0.500 0.323

=====

[8]
Computed, not measured: crystalline LaSnPSe2 at its relaxed geometry at the GGA-PBEsol level of DFT.

Values from the calculation:
Total moment (μB/f.u.): 0.00
Space-group type: P4/mmm (123)
Raw formation energy (eV/atom): -0.430

Lattice parameters (Å, degrees): 5.172 5.172 4.942 90.00 90.00 90.00
Fractional positions:
La 0.000 0.000 0.000
Sn 0.500 0.500 0.500
P 0.500 0.500 0.000
Se 0.000 0.500 0.500
Se 0.500 0.000 0.500

=====

[9]
Computed, not measured: crystalline CaHfIn2 at its relaxed geometry at the GGA-PBEsol level of DFT.

Values from the calculation:
Total moment (μB/f.u.): 0.00
Space-group type: Fm-3m (225)
ΔH_f (0 K) (kJ per mole of atoms): -14.5

Lattice parameters (Å, degrees): 5.088 5.088 5.088 60.00 60.00 60.00
Fractional positions:
Ca 0.000 0.000 0.000
Hf 0.500 0.500 0.500
In 0.250 0.250 0.250
In 0.750 0.750 0.750

=====

[10]
Computed, not measured: crystalline CoRePb2 at its relaxed geometry at the GGA-PBEsol level of DFT.

Values from the calculation:
Total moment (μB/f.u.): 0.17
Space-group type: R-3m (166)
Energy relative to the lowest polymorph listed for this composition (meV per atom): 119
ΔH_f (0 K) (kJ per mole of atoms): 89.9

Lattice parameters (Å, degrees): 8.450 8.450 8.450 21.63 21.63 21.63
Fractional positions:
Co 0.000 0.000 0.000
Re 0.500 0.500 0.500
Pb 0.255 0.255 0.255
Pb 0.745 0.745 0.745

=====

[11]
Computed, not measured: crystalline GeBrF3 at its relaxed geometry at the GGA-PBEsol level of DFT.

Values from the calculation:
Total moment (μB/f.u.): 1.11
Space-group type: Pm-3m (221)
Raw formation energy (eV/atom): -1.243

Lattice parameters (Å, degrees): 4.135 4.135 4.135 90.00 90.00 90.00
Fractional positions:
Ge 0.000 0.000 0.000
Br 0.500 0.500 0.500
F 0.000 0.000 0.500
F 0.000 0.500 0.000
F 0.500 0.000 0.000

=====

[12]
Computed, not measured: crystalline KAlH6O2F6 at its relaxed geometry at the GGA-PBEsol level of DFT.

Values from the calculation:
Total moment (μB/f.u.): 0.00
Space-group type: Pa-3 (205)
DFT total energy (eV/cell): -325.3

Lattice parameters (Å, degrees): 8.630 8.630 8.630 90.00 90.00 90.00
Fractional positions:
K 0.000 0.000 0.000
K 0.000 0.500 0.500
K 0.500 0.000 0.500
K 0.500 0.500 0.000
Al 0.000 0.000 0.500
Al 0.000 0.500 0.000
Al 0.500 0.000 0.000
Al 0.500 0.500 0.500
H 0.135 0.202 0.697
H 0.135 0.298 0.197
H 0.197 0.135 0.298
H 0.197 0.365 0.798
H 0.202 0.697 0.135
H 0.202 0.803 0.635
H 0.298 0.197 0.135
H 0.298 0.303 0.635
H 0.303 0.635 0.298
H 0.303 0.865 0.798
H 0.365 0.702 0.697
H 0.365 0.798 0.197
H 0.635 0.202 0.803
H 0.635 0.298 0.303
H 0.697 0.135 0.202
H 0.697 0.365 0.702
H 0.702 0.697 0.365
H 0.702 0.803 0.865
H 0.798 0.197 0.365
H 0.798 0.303 0.865
H 0.803 0.635 0.202
H 0.803 0.865 0.702
H 0.865 0.702 0.803
H 0.865 0.798 0.303
O 0.191 0.191 0.191
O 0.191 0.309 0.691
O 0.309 0.691 0.191
O 0.309 0.809 0.691
O 0.691 0.191 0.309
O 0.691 0.309 0.809
O 0.809 0.691 0.309
O 0.809 0.809 0.809
F 0.050 0.064 0.695
F 0.050 0.436 0.195
F 0.064 0.695 0.050
F 0.064 0.805 0.550
F 0.195 0.050 0.436
F 0.195 0.450 0.936
F 0.305 0.550 0.436
F 0.305 0.950 0.936
F 0.436 0.195 0.050
F 0.436 0.305 0.550
F 0.450 0.564 0.695
F 0.450 0.936 0.195
F 0.550 0.064 0.805
F 0.550 0.436 0.305
F 0.564 0.695 0.450
F 0.564 0.805 0.950
F 0.695 0.050 0.064
F 0.695 0.450 0.564
F 0.805 0.550 0.064
F 0.805 0.950 0.564
F 0.936 0.195 0.450
F 0.936 0.305 0.950
F 0.950 0.564 0.805
F 0.950 0.936 0.305